First-principles (PBE) data for a relaxed DySc2CdHg4 crystal, as listed in Alexandria via LeMat-Bulk.

```
DySc2CdHg4
1.0
2.508 1.448 8.414
-2.508 1.448 8.414
0.000 -2.896 8.414
Dy Sc Cd Hg
1 2 1 4
direct
0.000 0.000 0.000 Dy
0.244 0.244 0.244 Sc
0.756 0.756 0.756 Sc
0.500 0.500 0.500 Cd
0.123 0.123 0.123 Hg
0.373 0.373 0.373 Hg
0.627 0.627 0.627 Hg
0.877 0.877 0.877 Hg
```

Values from the calculation:
magnetization: 0.00 μB/f.u.
energy relative to the elements: -346.6 meV per atom
space-group type: No. 166